# 1
DFT (GGA-PBE) results for a geometry-optimized Ho5Tl2Ga2 structure.

Properties
Total DFT energy (no corrections): -37.7 eV/f.u.
Space-group type: No. 64

The structure in POSCAR format:
```
Ho5Tl2Ga2
1.0
8.040 -3.875 0.000
8.040 3.875 0.000
0.000 0.000 7.668
Ho Tl Ga
10 4 4
Direct
0.000 0.000 0.000
0.057 0.686 0.678
0.186 0.557 0.178
0.314 0.943 0.678
0.443 0.814 0.178
0.500 0.500 0.500
0.557 0.186 0.822
0.686 0.057 0.322
0.814 0.443 0.822
0.943 0.314 0.322
0.221 0.221 0.000
0.279 0.279 0.500
0.721 0.721 0.500
0.779 0.779 0.000
0.119 0.881 0.380
0.381 0.619 0.880
0.619 0.381 0.120
0.881 0.119 0.620
```

---

# 2
DFT (GGA-PBE) results for a geometry-optimized SrHgAs3 structure.

Properties
Relative energy among the computed polymorphs: 675 meV/atom
Total DFT energy (no corrections): -11.4 eV/f.u.
Space-group type: No. 221

The structure in POSCAR format:
```
SrHgAs3
1.0
5.707 0.000 0.000
0.000 5.707 0.000
0.000 0.000 5.707
Sr Hg As
1 1 3
Direct
0.000 0.000 0.000
0.500 0.500 0.500
0.000 0.000 0.500
0.000 0.500 0.000
0.500 0.000 0.000
```

---

- The lowest total DFT energy (no corrections) belongs to which entry?
  Ho5Tl2Ga2

---

- Which formula does entry 2 have?
  SrHgAs3